a | Here is an optimized crystal structure of MgCd2Si from Alexandria via LeMat-Bulk. Energies are from GGA-PBE.

Values from the calculation:
* Fermi-level density of states: 1.31 states/eV/cell
* spin magnetization: 0.0 μB per cell

The structure in CIF format:
```
data_MgCd2Si
_chemical_formula_sum 'Mg1 Cd2 Si1'
_cell_length_a 4.973
_cell_length_b 6.359
_cell_length_c 2.999
_cell_angle_alpha 75.15
_cell_angle_beta 92.99
_cell_angle_gamma 113.79
_space_group_name_H-M_alt 'P 1'
_space_group_IT_number 1
loop_
_space_group_symop_operation_xyz
'x,y,z'
loop_
_atom_site_label
_atom_site_type_symbol
_atom_site_fract_x
_atom_site_fract_y
_atom_site_fract_z
_atom_site_occupancy
Cd1 Cd 0.000 0.000 0.000 1
Cd2 Cd 0.500 0.000 0.500 1
Mg1 Mg 0.000 0.500 0.500 1
Si1 Si 0.500 0.500 0.000 1
```


b | Here is an optimized crystal structure of MgCd2Si from Alexandria via LeMat-Bulk. Energies are from GGA-PBE.

Values from the calculation:
* Fermi-level density of states: 1.49 states/eV/cell
* spin magnetization: 0.0 μB per cell

The structure in CIF format:
```
data_MgCd2Si
_chemical_formula_sum 'Mg1 Cd2 Si1'
_cell_length_a 5.325
_cell_length_b 5.325
_cell_length_c 5.325
_cell_angle_alpha 132.04
_cell_angle_beta 132.08
_cell_angle_gamma 70.13
_space_group_name_H-M_alt 'P 1'
_space_group_IT_number 1
loop_
_space_group_symop_operation_xyz
'x,y,z'
loop_
_atom_site_label
_atom_site_type_symbol
_atom_site_fract_x
_atom_site_fract_y
_atom_site_fract_z
_atom_site_occupancy
Cd1 Cd 0.000 0.000 0.000 1
Cd2 Cd 0.250 0.750 0.500 1
Mg1 Mg 0.500 0.500 0.000 1
Si1 Si 0.750 0.250 0.500 1
```


Most stable structure: b


a | Here is an optimized crystal structure of MgCd2Si from Alexandria via LeMat-Bulk. Energies are from GGA-PBE.

Values from the calculation:
* Fermi-level density of states: 1.19 states/eV/cell
* spin magnetization: 0.0 μB per cell

The structure in CIF format:
```
data_MgCd2Si
_chemical_formula_sum 'Mg1 Cd2 Si1'
_cell_length_a 4.936
_cell_length_b 4.936
_cell_length_c 5.736
_cell_angle_alpha 75.90
_cell_angle_beta 75.90
_cell_angle_gamma 38.57
_space_group_name_H-M_alt 'P 1'
_space_group_IT_number 1
loop_
_space_group_symop_operation_xyz
'x,y,z'
loop_
_atom_site_label
_atom_site_type_symbol
_atom_site_fract_x
_atom_site_fract_y
_atom_site_fract_z
_atom_site_occupancy
Cd1 Cd 0.985 0.985 0.993 1
Cd2 Cd 0.748 0.748 0.744 1
Mg1 Mg 0.511 0.511 0.471 1
Si1 Si 0.257 0.257 0.292 1
```


b | Here is an optimized crystal structure of MgCd2Si from Alexandria via LeMat-Bulk. Energies are from GGA-PBE.

Values from the calculation:
* Fermi-level density of states: 2.12 states/eV/cell
* spin magnetization: 0.0 μB per cell

The structure in CIF format:
```
data_MgCd2Si
_chemical_formula_sum 'Mg1 Cd2 Si1'
_cell_length_a 5.380
_cell_length_b 5.380
_cell_length_c 5.380
_cell_angle_alpha 133.23
_cell_angle_beta 133.23
_cell_angle_gamma 68.29
_space_group_name_H-M_alt 'P 1'
_space_group_IT_number 1
loop_
_space_group_symop_operation_xyz
'x,y,z'
loop_
_atom_site_label
_atom_site_type_symbol
_atom_site_fract_x
_atom_site_fract_y
_atom_site_fract_z
_atom_site_occupancy
Cd1 Cd 0.000 0.000 0.000 1
Cd2 Cd 0.500 0.500 0.000 1
Mg1 Mg 0.250 0.750 0.500 1
Si1 Si 0.750 0.250 0.500 1
```


c | Here is an optimized crystal structure of MgCd2Si from Alexandria via LeMat-Bulk. Energies are from GGA-PBE.

Values from the calculation:
* Fermi-level density of states: 2.06 states/eV/cell
* spin magnetization: 0.0 μB per cell

The structure in CIF format:
```
data_MgCd2Si
_chemical_formula_sum 'Mg1 Cd2 Si1'
_cell_length_a 4.916
_cell_length_b 4.916
_cell_length_c 4.916
_cell_angle_alpha 60.00
_cell_angle_beta 60.00
_cell_angle_gamma 60.00
_space_group_name_H-M_alt 'P 1'
_space_group_IT_number 1
loop_
_space_group_symop_operation_xyz
'x,y,z'
loop_
_atom_site_label
_atom_site_type_symbol
_atom_site_fract_x
_atom_site_fract_y
_atom_site_fract_z
_atom_site_occupancy
Si1 Si 0.500 0.500 0.500 1
Mg1 Mg 0.000 0.000 0.000 1
Cd1 Cd 0.250 0.250 0.250 1
Cd2 Cd 0.750 0.750 0.750 1
```


Most stable structure: b


a | Here is an optimized crystal structure of MgCd2Si from Alexandria via LeMat-Bulk. Energies are from GGA-PBE.

Values from the calculation:
* Fermi-level density of states: 0.88 states/eV/cell
* spin magnetization: 0.0 μB per cell

The structure in CIF format:
```
data_MgCd2Si
_chemical_formula_sum 'Mg1 Cd2 Si1'
_cell_length_a 5.544
_cell_length_b 3.012
_cell_length_c 5.003
_cell_angle_alpha 94.30
_cell_angle_beta 90.00
_cell_angle_gamma 90.00
_space_group_name_H-M_alt 'P 1'
_space_group_IT_number 1
loop_
_space_group_symop_operation_xyz
'x,y,z'
loop_
_atom_site_label
_atom_site_type_symbol
_atom_site_fract_x
_atom_site_fract_y
_atom_site_fract_z
_atom_site_occupancy
Cd1 Cd 0.000 0.979 0.001 1
Cd2 Cd 0.000 0.521 0.499 1
Mg1 Mg 0.500 0.250 0.250 1
Si1 Si 0.500 0.750 0.750 1
```


b | Here is an optimized crystal structure of MgCd2Si from Alexandria via LeMat-Bulk. Energies are from GGA-PBE.

Values from the calculation:
* Fermi-level density of states: 2.01 states/eV/cell
* spin magnetization: 0.0 μB per cell

The structure in CIF format:
```
data_MgCd2Si
_chemical_formula_sum 'Mg1 Cd2 Si1'
_cell_length_a 4.233
_cell_length_b 4.233
_cell_length_c 4.541
_cell_angle_alpha 90.00
_cell_angle_beta 90.00
_cell_angle_gamma 90.00
_space_group_name_H-M_alt 'P 1'
_space_group_IT_number 1
loop_
_space_group_symop_operation_xyz
'x,y,z'
loop_
_atom_site_label
_atom_site_type_symbol
_atom_site_fract_x
_atom_site_fract_y
_atom_site_fract_z
_atom_site_occupancy
Cd1 Cd 0.000 0.000 0.000 1
Cd2 Cd 0.500 0.500 0.000 1
Mg1 Mg 0.500 0.000 0.500 1
Si1 Si 0.000 0.500 0.500 1
```


c | Here is an optimized crystal structure of MgCd2Si from Alexandria via LeMat-Bulk. Energies are from GGA-PBE.

Values from the calculation:
* Fermi-level density of states: 1.31 states/eV/cell
* spin magnetization: 0.0 μB per cell

The structure in CIF format:
```
data_MgCd2Si
_chemical_formula_sum 'Mg1 Cd2 Si1'
_cell_length_a 4.267
_cell_length_b 2.965
_cell_length_c 6.754
_cell_angle_alpha 75.45
_cell_angle_beta 90.00
_cell_angle_gamma 90.00
_space_group_name_H-M_alt 'P 1'
_space_group_IT_number 1
loop_
_space_group_symop_operation_xyz
'x,y,z'
loop_
_atom_site_label
_atom_site_type_symbol
_atom_site_fract_x
_atom_site_fract_y
_atom_site_fract_z
_atom_site_occupancy
Cd1 Cd 0.000 0.820 0.002 1
Cd2 Cd 0.500 0.186 0.256 1
Mg1 Mg 0.000 0.542 0.538 1
Si1 Si 0.500 0.952 0.704 1
```


d | Here is an optimized crystal structure of MgCd2Si from Alexandria via LeMat-Bulk. Energies are from GGA-PBE.

Values from the calculation:
* Fermi-level density of states: 3.21 states/eV/cell
* spin magnetization: 0.3 μB per cell

The structure in CIF format:
```
data_MgCd2Si
_chemical_formula_sum 'Mg1 Cd2 Si1'
_cell_length_a 9.641
_cell_length_b 9.641
_cell_length_c 9.641
_cell_angle_alpha 19.16
_cell_angle_beta 19.16
_cell_angle_gamma 19.16
_space_group_name_H-M_alt 'P 1'
_space_group_IT_number 1
loop_
_space_group_symop_operation_xyz
'x,y,z'
loop_
_atom_site_label
_atom_site_type_symbol
_atom_site_fract_x
_atom_site_fract_y
_atom_site_fract_z
_atom_site_occupancy
Cd1 Cd 0.002 0.002 0.002 1
Cd2 Cd 0.498 0.498 0.498 1
Mg1 Mg 0.250 0.250 0.250 1
Si1 Si 0.750 0.750 0.750 1
```


Most stable structure: c


a | Here is an optimized crystal structure of MgCd2Si from Alexandria via LeMat-Bulk. Energies are from GGA-PBE.

Values from the calculation:
* Fermi-level density of states: 1.17 states/eV/cell
* spin magnetization: 0.0 μB per cell

The structure in CIF format:
```
data_MgCd2Si
_chemical_formula_sum 'Mg1 Cd2 Si1'
_cell_length_a 6.821
_cell_length_b 6.821
_cell_length_c 6.821
_cell_angle_alpha 153.33
_cell_angle_beta 142.03
_cell_angle_gamma 47.01
_space_group_name_H-M_alt 'P 1'
_space_group_IT_number 1
loop_
_space_group_symop_operation_xyz
'x,y,z'
loop_
_atom_site_label
_atom_site_type_symbol
_atom_site_fract_x
_atom_site_fract_y
_atom_site_fract_z
_atom_site_occupancy
Cd1 Cd 0.948 0.948 0.000 1
Cd2 Cd 0.552 0.552 0.000 1
Mg1 Mg 0.250 0.750 0.500 1
Si1 Si 0.750 0.250 0.500 1
```


b | Here is an optimized crystal structure of MgCd2Si from Alexandria via LeMat-Bulk. Energies are from GGA-PBE.

Values from the calculation:
* Fermi-level density of states: 1.26 states/eV/cell
* spin magnetization: 0.0 μB per cell

The structure in CIF format:
```
data_MgCd2Si
_chemical_formula_sum 'Mg1 Cd2 Si1'
_cell_length_a 3.125
_cell_length_b 3.125
_cell_length_c 8.396
_cell_angle_alpha 90.00
_cell_angle_beta 90.00
_cell_angle_gamma 91.22
_space_group_name_H-M_alt 'P 1'
_space_group_IT_number 1
loop_
_space_group_symop_operation_xyz
'x,y,z'
loop_
_atom_site_label
_atom_site_type_symbol
_atom_site_fract_x
_atom_site_fract_y
_atom_site_fract_z
_atom_site_occupancy
Cd1 Cd 0.000 0.000 0.980 1
Cd2 Cd 0.500 0.500 0.258 1
Mg1 Mg 0.000 0.000 0.524 1
Si1 Si 0.500 0.500 0.738 1
```


c | Here is an optimized crystal structure of MgCd2Si from Alexandria via LeMat-Bulk. Energies are from GGA-PBE.

Values from the calculation:
* Fermi-level density of states: 1.63 states/eV/cell
* spin magnetization: 0.0 μB per cell

The structure in CIF format:
```
data_MgCd2Si
_chemical_formula_sum 'Mg1 Cd2 Si1'
_cell_length_a 3.142
_cell_length_b 3.142
_cell_length_c 8.390
_cell_angle_alpha 90.00
_cell_angle_beta 90.00
_cell_angle_gamma 92.16
_space_group_name_H-M_alt 'P 1'
_space_group_IT_number 1
loop_
_space_group_symop_operation_xyz
'x,y,z'
loop_
_atom_site_label
_atom_site_type_symbol
_atom_site_fract_x
_atom_site_fract_y
_atom_site_fract_z
_atom_site_occupancy
Cd1 Cd 0.000 0.000 0.989 1
Cd2 Cd 0.000 0.000 0.511 1
Mg1 Mg 0.500 0.500 0.250 1
Si1 Si 0.500 0.500 0.750 1
```


Most stable structure: a